Zr2CdTe, relaxed, DFT PBE; symmetry = F-43m; calculated density = 7.36 g/cm³; excess energy over the best structure of this formula in the dataset = 2.054 eV per formula unit; electronic total energy = -5.09 eV per atom; V = 23.816 Å³ per atom
1.0
-2.9705 3.4960 2.2879
-4.4796 1.3314 -2.1073
-4.3985 -1.4269 2.2131
Te Cd Zr
1 1 2
direct
0.7500 0.7500 0.7500 Te
0.5000 0.5000 0.5000 Cd
0.2500 0.2500 0.2500 Zr
0.0000 0.0000 0.0000 Zr